No. 1
VASP calculation (PBE-GGA) on an optimized crystal structure of Mn2VRu5.

```
Mn2VRu5
1.0
-2.7987 4.1373 -1.8412
0.3036 -2.1041 -4.8812
-1.9819 -2.9246 3.9828
Ru V Mn
5 1 2
Cartesian
-0.5416 -0.4868 -4.3084
-1.6846 -0.8972 0.1235
-2.6750 -2.3598 2.1151
-2.9318 0.1196 -3.2378
-2.0928 2.6336 -2.7889
-1.9408 1.5815 -5.2289
-3.0836 1.1711 -0.7975
-1.5323 -1.9496 -2.3175
```

Results
Total DFT energy (no corrections), eV per atom: -9.230

=====

No. 2
VASP calculation (PBE-GGA) on an optimized crystal structure of KBMo2.

```
KBMo2
1.0
-4.7219 3.1429 -0.5866
-3.1202 -4.3021 2.0675
-3.1989 1.5270 6.2140
Mo B K
4 2 2
Cartesian
-4.5198 -1.1291 2.6258
-6.1195 -0.3643 5.7323
-2.9613 1.0231 1.5919
-8.4816 1.2056 5.4398
-3.9211 -0.5796 0.7405
-5.1201 -1.6774 4.5109
-5.9210 2.0451 3.1839
0.0000 0.0000 0.0000
```

Results
Total DFT energy (no corrections), eV per atom: -5.827

=====

No. 3
VASP calculation (PBE-GGA) on an optimized crystal structure of PrTmPa4.

```
PrTmPa4
1.0
-0.3293 3.5318 -5.0479
3.8928 -0.9526 -4.6906
-2.0786 -2.3793 -5.2993
Tm Pa Pr
1 4 1
Cartesian
0.0000 0.0000 0.0000
0.9286 0.1250 -9.4033
1.9704 1.3176 -6.7471
-1.0226 0.6025 -7.0522
1.0936 -1.6452 -6.8731
0.3712 0.0500 -3.7595
```

Results
Total DFT energy (no corrections), eV per atom: -7.629

=====

No. 4
VASP calculation (PBE-GGA) on an optimized crystal structure of Tb3Pr2Hg3.

```
Tb3Pr2Hg3
1.0
3.8000 0.0000 0.0000
0.0000 5.3467 0.0000
-1.9000 -2.6733 11.2937
Pr Hg Tb
2 3 3
Cartesian
1.9000 0.0000 5.1968
0.0000 2.6733 6.0969
1.9000 2.6733 8.7444
0.0000 2.6733 0.0000
0.0000 0.0000 2.5493
1.9000 2.6733 2.6550
0.0000 0.0000 8.6386
1.9000 0.0000 0.0000
```

Results
Total DFT energy (no corrections), eV per atom: -3.389

=====

No. 5
VASP calculation (PBE-GGA) on an optimized crystal structure of BaEr2Mg.

```
BaEr2Mg
1.0
3.5517 0.0000 0.0000
1.7758 3.0758 0.0000
1.7758 1.0253 12.4187
Er Ba Mg
2 1 1
Cartesian
5.3275 3.0758 3.6219
1.7758 1.0253 8.7968
0.0000 0.0000 0.0000
3.5517 2.0506 6.2093
```

Results
Polymorph energy (0 for the lowest one), kJ/mol of formula units: 59.8

=====

No. 6
VASP calculation (PBE-GGA) on an optimized crystal structure of Ir7Ru4Pt.

```
Ir7Ru4Pt
1.0
-4.8935 -0.0957 -2.4243
-6.3431 -3.3911 0.6350
-4.1048 3.1227 5.0728
Ir Ru Pt
7 4 1
Cartesian
-8.4693 1.4082 4.7903
-9.2256 -0.7823 3.2718
-5.6032 -1.1839 2.1459
-6.8722 -1.7723 -1.5068
-2.4468 -0.0479 -1.2122
-6.1158 0.4182 0.0117
-9.7382 0.8198 1.1376
-8.0624 -1.2311 0.9127
-11.6923 -0.8179 2.0866
-7.2791 0.8669 2.3709
-3.6491 0.4538 1.1969
0.0000 0.0000 0.0000
```

Results
Total DFT energy (no corrections), eV per atom: -8.774

=====

No. 7
VASP calculation (PBE-GGA) on an optimized crystal structure of Sm3Dy6In.

```
Sm3Dy6In
1.0
3.5540 0.0000 0.0000
0.0000 12.7963 -1.8710
0.0000 -6.2369 14.8164
Dy In Sm
12 2 6
Cartesian
2.6655 4.2606 0.7532
2.6655 -1.5352 6.8565
0.8885 8.0945 6.0889
2.6655 10.3198 0.0068
0.8885 -0.2693 3.9744
2.6655 6.6031 3.3377
0.8885 -3.7605 12.9386
0.8885 2.2988 12.1922
0.8885 -0.0438 9.6077
2.6655 6.8287 8.9710
2.6655 3.1843 9.4130
0.8885 3.3751 3.5324
2.6655 -2.8341 10.0754
0.8885 9.3935 2.8700
0.8885 1.7171 6.7263
0.8885 7.1994 0.3885
0.8885 5.5292 11.8193
2.6655 1.0301 1.1261
2.6655 -0.6401 12.5569
2.6655 4.8422 6.2191
```

Results
Total DFT energy (no corrections), eV per atom: -4.481

=====

No. 8
VASP calculation (PBE-GGA) on an optimized crystal structure of CsErTeO4.

```
CsErTeO4
1.0
5.9368 0.0000 -0.6658
0.0000 6.2186 0.0000
-3.0854 0.0000 8.3605
O Er Te Cs
8 2 2 2
Cartesian
3.8442 2.9918 4.7542
0.6669 1.5547 6.2086
3.8442 0.1175 4.7542
-0.9929 6.1011 2.9405
1.6919 1.5547 3.7697
-0.9929 3.2268 2.9405
1.1595 4.6640 3.9250
2.1845 4.6640 1.4861
-0.5123 1.5547 4.3586
3.3636 4.6640 3.3361
0.2513 4.6640 2.2431
2.6000 1.5547 5.4516
2.6520 1.5547 0.7936
0.1994 4.6640 6.9011
```

Results
Raw formation energy, eV/atom: -2.065

=====

No. 9
VASP calculation (PBE-GGA) on an optimized crystal structure of NiPt4W.

```
NiPt4W
1.0
2.5134 -3.8420 -2.3498
3.4879 -2.7701 2.6001
-1.0155 -4.8969 1.2603
Pt Ni W
4 1 1
Cartesian
1.3714 -5.8081 -0.3566
3.6247 -4.7440 0.3137
1.8590 -5.2718 2.1199
3.1166 -7.1940 0.9443
0.0000 0.0000 0.0000
1.2465 -2.8772 0.3777
```

Results
Polymorph energy (0 for the lowest one), kJ/mol of formula units: 256.4

=====

No. 10
VASP calculation (PBE-GGA) on an optimized crystal structure of Pr3NdY2Ho6.

```
Pr3NdY2Ho6
1.0
6.2338 -0.0002 0.0033
-3.1155 5.3995 0.0033
-1.0417 -1.8037 11.6770
Pr Nd Ho Y
3 1 6 2
Cartesian
4.1529 -0.0010 5.8418
-2.0763 3.5966 5.8418
1.0383 1.7978 5.8418
0.0000 0.0000 0.0000
3.1146 1.7968 8.7896
2.0789 3.5996 2.8981
-0.0023 -0.0040 8.7854
2.0768 -0.0001 2.8939
-1.0380 1.7988 2.8939
-0.0002 3.5957 8.7896
3.1182 1.7993 0.0033
0.0001 3.6000 0.0033
```

Results
Total DFT energy (no corrections), eV per atom: -4.940

=====

No. 11
VASP calculation (PBE-GGA) on an optimized crystal structure of TlHg2Au.

```
TlHg2Au
1.0
0.0000 3.6837 3.6837
3.6837 0.0000 3.6837
3.6837 3.6837 0.0000
Tl Au Hg
1 1 2
Cartesian
3.6837 3.6837 3.6837
0.0000 0.0000 0.0000
1.8419 1.8419 1.8419
5.5256 5.5256 5.5256
```

Results
Polymorph energy (0 for the lowest one), kJ/mol of formula units: 36.0

=====

No. 12
VASP calculation (PBE-GGA) on an optimized crystal structure of TbEr6Th3.

```
TbEr6Th3
1.0
3.4966 0.0000 0.0000
0.0000 12.9012 -1.9079
0.0000 -6.3202 14.9277
Th Tb Er
6 2 12
Cartesian
2.6224 1.0413 1.1145
0.8741 1.7762 6.6778
0.8741 5.5396 11.9054
0.8741 7.2363 0.3999
2.6224 -0.6553 12.6199
2.6224 4.8048 6.3420
2.6224 -2.9056 10.1842
0.8741 9.4866 2.8356
2.6224 -1.4327 7.0300
0.8741 -3.8653 13.2124
2.6224 6.4674 3.3647
2.6224 3.2958 9.4440
2.6224 10.4463 -0.1926
0.8741 0.1136 9.6551
2.6224 4.3448 0.7685
0.8741 8.0137 5.9898
0.8741 3.2852 3.5759
0.8741 -0.2610 3.9040
0.8741 2.2362 12.2513
2.6224 6.8420 9.1159
```

Results
Polymorph energy (0 for the lowest one), kJ/mol of formula units: 0.0

=====

No. 13
VASP calculation (PBE-GGA) on an optimized crystal structure of V3Ge5S12.

```
V3Ge5S12
1.0
12.7327 0.0000 0.0000
-4.2442 12.0045 0.0000
-4.2442 -6.0022 10.3962
S V Ge
48 12 20
Cartesian
-1.7434 0.0427 8.5502
-2.1760 -4.6119 9.9080
5.7449 6.5900 5.6862
-3.2980 10.1454 1.4481
-0.6214 0.7839 2.3341
6.9877 -0.7839 2.3341
-1.5007 -0.5877 4.7099
-0.9462 6.8197 4.3121
-4.6230 -0.0427 8.5502
8.8672 6.0450 1.8460
4.8656 5.2183 8.0621
2.5008 7.5795 0.9600
-4.2981 8.7309 3.7500
-2.1760 2.7287 6.6462
-4.1903 4.6119 9.9080
4.1903 1.8832 6.1581
7.5422 -4.1431 8.9480
-3.6228 5.4145 5.6862
0.0539 4.1190 4.2381
5.9876 5.9595 1.8460
1.5007 4.6306 7.0441
-0.3787 7.6223 0.8860
1.1759 0.8174 6.0841
-1.1759 4.1431 8.9480
1.7434 1.6200 9.5102
-0.3787 4.4249 0.9600
9.4347 2.6766 2.8640
3.0684 5.1848 4.3121
-2.7435 6.7862 8.0621
5.1905 -0.8174 6.0841
4.6230 -1.6200 9.5102
7.8670 0.5877 4.7099
2.1760 -1.8832 6.1581
-5.1905 3.3257 7.5322
5.4201 1.8591 1.4481
4.6230 1.5773 9.4362
5.4201 9.3279 2.8640
6.4202 10.6142 0.4882
0.6214 7.3739 7.0441
6.4202 3.2735 3.7500
2.0682 7.8854 4.2381
-1.1759 -3.3257 7.5322
1.7434 -1.5773 9.4362
3.6228 -1.3717 3.3521
2.5008 4.3822 0.8860
8.5423 -2.7287 6.6462
2.7435 1.3717 3.3521
8.4346 1.3903 0.4882
3.1832 6.7525 6.4976
9.5495 0.0000 2.5990
1.0611 -0.7503 3.8986
7.4274 3.7514 1.2995
-3.1832 -2.2508 9.0967
-1.0611 5.2520 6.4976
-3.1832 2.2508 9.0967
-5.3053 6.0022 7.7971
7.4274 8.2531 1.2995
1.0611 6.0022 2.5990
5.3053 0.7503 3.8986
3.1832 0.0000 7.7971
-1.0611 9.7536 1.2995
-1.0611 3.0011 2.5990
5.3053 5.2520 3.8986
-4.2442 3.0011 5.1981
6.3663 0.0000 0.0000
-2.1221 6.0022 0.0000
4.2442 6.0022 0.0000
-3.1832 6.7525 3.8986
0.0000 0.0000 0.0000
7.4274 -0.7503 6.4976
5.3053 3.0011 7.7971
3.1832 2.2508 1.2995
3.1832 9.0034 2.5990
-1.0611 0.7503 6.4976
5.3053 -3.7514 9.0967
-2.1221 -3.0011 5.1981
1.0611 3.7514 9.0967
4.2442 -3.0011 5.1981
2.1221 3.0011 5.1981
1.0611 -3.0011 7.7971
```

Results
Raw formation energy, eV/atom: -0.216

=====

No. 14
VASP calculation (PBE-GGA) on an optimized crystal structure of HfTlTe2.

```
HfTlTe2
1.0
-13.9168 11.9869 7.8279
-0.5716 5.3234 -5.0692
-3.9476 -4.3496 -4.4564
Hf Te Tl
8 16 8
Cartesian
-2.8797 5.2647 -2.0822
-13.4758 9.4605 -3.3731
-4.9601 3.5002 1.6754
-5.4523 6.2250 -0.7635
-13.3828 9.8092 2.5030
-15.5563 7.6961 0.3845
-5.0531 3.1515 -4.2006
-12.9836 6.7357 -0.9342
-11.1728 9.1419 4.3338
-11.4535 4.2984 -0.8285
-6.9824 8.6623 -0.8692
-13.4222 9.6400 -0.4327
-5.2312 5.9744 -3.6681
-7.0552 1.1672 -3.6484
-5.0137 3.3207 -1.2650
-7.2632 3.8188 -6.0315
-11.0840 7.9009 -2.7467
-4.1363 1.9098 -6.6832
-13.2047 6.9864 1.9704
-2.1796 3.0062 -3.7260
-16.2564 9.9545 2.0284
-14.2997 11.0510 4.9855
-7.3520 5.0598 1.0490
-11.3807 11.7935 1.9508
-14.7587 13.3343 1.3958
-8.7091 5.1249 -2.8328
-16.6953 11.3399 -1.0852
-1.7407 1.6209 -0.6124
-8.6553 2.3249 -0.4559
-3.6772 -0.3736 -3.0935
-9.7269 7.8358 1.1351
-9.7807 10.6359 -1.2418
```

Results
Raw formation energy, eV/atom: -0.459

=====

No. 15
VASP calculation (PBE-GGA) on an optimized crystal structure of Li3HoPb6.

```
Li3HoPb6
1.0
-3.0768 -0.5882 -3.7533
6.8171 -5.0291 -4.8003
-4.6730 -8.4495 5.1549
Pb Li Ho
12 6 2
Cartesian
-1.0004 -5.0501 -3.1643
0.0677 -9.0166 -0.2344
-2.9275 -10.5729 -0.7190
-0.5278 -2.7479 -0.7287
-0.4050 -11.3188 -2.6700
3.7151 -5.9710 -6.8856
-4.5124 -7.2158 0.0541
-1.3892 -5.8821 0.4687
-4.6479 -8.0957 3.4869
0.4564 -8.1846 -3.8673
3.5796 -6.8510 -3.4528
1.9947 -3.4939 -2.6796
1.3828 -5.3713 -5.0676
-0.6794 -1.9381 -3.9151
-2.3156 -8.6955 1.6690
1.1620 -6.4685 -1.5308
-0.2534 -12.1286 0.5165
-2.0948 -7.5982 -1.8679
-3.6581 -4.0891 -1.1362
2.7253 -9.9776 -2.2624
```

Results
Total DFT energy (no corrections), eV per atom: -3.487

=====

No. 16
VASP calculation (PBE-GGA) on an optimized crystal structure of Pu8P5O.

```
Pu8P5O
1.0
7.3093 -0.0369 0.0635
-2.5079 6.8657 -0.0635
-2.2934 -3.4898 5.9994
Pu P O
8 5 1
Cartesian
-1.9842 -1.5666 4.3679
4.0761 0.3934 2.1915
1.4990 3.2819 1.4662
-2.2202 3.4041 3.0197
0.1584 2.8504 5.1646
0.3352 0.4491 2.4783
-3.0963 1.4922 5.9239
1.6611 -0.4015 5.3215
2.3626 0.8459 0.0275
3.6576 5.1259 1.4457
6.0939 2.0367 0.7852
2.5045 2.1223 3.8045
2.5079 -1.7634 3.0315
-1.1467 0.8063 4.4837
```

Results
Raw formation energy, eV/atom: -1.130

=====

No. 17
VASP calculation (PBE-GGA) on an optimized crystal structure of MgBeV.

```
MgBeV
1.0
3.4226 0.0000 0.0000
0.0000 16.3753 0.0000
0.0000 0.0000 3.2123
Be Mg V
4 4 4
Cartesian
1.7113 7.5561 2.4092
1.7113 8.8192 0.8031
0.0000 15.7438 2.4092
0.0000 0.6315 0.8031
0.0000 13.2996 2.4092
1.7113 11.2634 0.8031
0.0000 3.0757 0.8031
1.7113 5.1120 2.4092
1.7113 1.0066 2.4092
1.7113 15.3687 0.8031
0.0000 9.1943 2.4092
0.0000 7.1810 0.8031
```

Results
Polymorph energy (0 for the lowest one), kJ/mol of formula units: 0.0

=====

Summary of total magnetic moment in μB per cell
2.9, 0.0, 0.0, 0.0, 0.2, 0.0, 0.0, 0.0, 0.0, 0.0, 0.0, 0.0, 25.9, 0.0, 0.0, 46.9, 0.0
(order as listed above)